Here is a PBEsol-optimized structure of YPaRu2 from Alexandria via LeMat-Bulk. Energies are from meta-GGA SCAN.

## Properties
Symmetry: Fm-3m (225)
Total magnetic moment, μB/f.u.: 0.00
ΔH_f (0 K), eV per atom: -0.420
Total DFT energy (no corrections), eV per cell: -795.37

a b c (Å): 6.7409 6.7409 6.7409
angles (deg): 90.00 90.00 90.00
Sites, in units of the cell vectors:
Y 0.0000 0.0000 0.0000
Y 0.0000 0.5000 0.5000
Y 0.5000 0.0000 0.5000
Y 0.5000 0.5000 0.0000
Pa 0.0000 0.0000 0.5000
Pa 0.0000 0.5000 0.0000
Pa 0.5000 0.0000 0.0000
Pa 0.5000 0.5000 0.5000
Ru 0.2500 0.2500 0.2500
Ru 0.2500 0.2500 0.7500
Ru 0.2500 0.7500 0.2500
Ru 0.2500 0.7500 0.7500
Ru 0.7500 0.2500 0.2500
Ru 0.7500 0.2500 0.7500
Ru 0.7500 0.7500 0.2500
Ru 0.7500 0.7500 0.7500


Here is a PBEsol-optimized structure of Pa4SbS3 from Alexandria via LeMat-Bulk. Energies are from meta-GGA SCAN.

## Properties
Symmetry: P-1 (2)
Energy relative to the elements, uncorrected, eV per atom: -1.122
Total magnetic moment, μB/f.u.: 0.00
Total DFT energy (no corrections), eV per cell: -473.79

a b c (Å): 5.6471 5.6504 6.6124
angles (deg): 65.84 69.64 89.99
Sites, in units of the cell vectors:
Pa 0.0000 0.0000 0.0000
Pa 0.2383 0.7359 0.5298
Pa 0.5000 0.5000 0.0000
Pa 0.7617 0.2641 0.4702
Sb 0.5000 0.0000 0.0000
S 0.0000 0.5000 0.0000
S 0.2490 0.2506 0.4996
S 0.7510 0.7494 0.5004


Here is a PBEsol-optimized structure of PaSeS2 from Alexandria via LeMat-Bulk. Energies are from meta-GGA SCAN.

## Properties
Symmetry: Cmcm (63)
Energy relative to the elements, uncorrected, eV per atom: -1.166
Total magnetic moment, μB/f.u.: 0.00
Total DFT energy (no corrections), eV per cell: -574.66

a b c (Å): 4.0387 20.9626 4.0404
angles (deg): 90.00 90.00 90.00
Sites, in units of the cell vectors:
Pa 0.0000 0.1522 0.2500
Pa 0.0000 0.8478 0.7500
Pa 0.5000 0.3478 0.7500
Pa 0.5000 0.6522 0.2500
Se 0.0000 0.2953 0.2500
Se 0.0000 0.7047 0.7500
Se 0.5000 0.2047 0.7500
Se 0.5000 0.7953 0.2500
S 0.0000 0.0719 0.7500
S 0.0000 0.4285 0.7500
S 0.0000 0.5715 0.2500
S 0.0000 0.9281 0.2500
S 0.5000 0.0715 0.2500
S 0.5000 0.4281 0.2500
S 0.5000 0.5719 0.7500
S 0.5000 0.9285 0.7500


Here is a PBEsol-optimized structure of PaSb2 from Alexandria via LeMat-Bulk. Energies are from meta-GGA SCAN.

## Properties
Symmetry: P4/nmm (129)
Energy relative to the elements, uncorrected, eV per atom: -0.511
Total magnetic moment, μB/f.u.: 0.00
Total DFT energy (no corrections), eV per cell: -351.44

a b c (Å): 4.2801 4.2801 8.6025
angles (deg): 90.00 90.00 90.00
Sites, in units of the cell vectors:
Pa 0.2500 0.2500 0.2221
Pa 0.7500 0.7500 0.7779
Sb 0.2500 0.2500 0.8588
Sb 0.2500 0.7500 0.5000
Sb 0.7500 0.2500 0.5000
Sb 0.7500 0.7500 0.1412


Here is a PBEsol-optimized structure of ScPaTc2 from Alexandria via LeMat-Bulk. Energies are from meta-GGA SCAN.

## Properties
Symmetry: Fm-3m (225)
Total magnetic moment, μB/f.u.: 0.00
ΔH_f (0 K), eV per atom: -0.389
Total DFT energy (no corrections), eV per cell: -742.32

a b c (Å): 6.5812 6.5812 6.5812
angles (deg): 90.00 90.00 90.00
Sites, in units of the cell vectors:
Sc 0.0000 0.0000 0.0000
Sc 0.0000 0.5000 0.5000
Sc 0.5000 0.0000 0.5000
Sc 0.5000 0.5000 0.0000
Pa 0.0000 0.0000 0.5000
Pa 0.0000 0.5000 0.0000
Pa 0.5000 0.0000 0.0000
Pa 0.5000 0.5000 0.5000
Tc 0.2500 0.2500 0.2500
Tc 0.2500 0.2500 0.7500
Tc 0.2500 0.7500 0.2500
Tc 0.2500 0.7500 0.7500
Tc 0.7500 0.2500 0.2500
Tc 0.7500 0.2500 0.7500
Tc 0.7500 0.7500 0.2500
Tc 0.7500 0.7500 0.7500


Here is a PBEsol-optimized structure of PaSi3 from Alexandria via LeMat-Bulk. Energies are from meta-GGA SCAN.

## Properties
Symmetry: Pm-3m (221)
Energy relative to the elements, uncorrected, eV per atom: -0.280
Total magnetic moment, μB/f.u.: 0.00
Total DFT energy (no corrections), eV per cell: -130.83

a b c (Å): 4.0743 4.0743 4.0743
angles (deg): 90.00 90.00 90.00
Sites, in units of the cell vectors:
Pa 0.0000 0.0000 0.0000
Si 0.0000 0.5000 0.5000
Si 0.5000 0.0000 0.5000
Si 0.5000 0.5000 0.0000


Here is a PBEsol-optimized structure of PaSiTc2 from Alexandria via LeMat-Bulk. Energies are from meta-GGA SCAN.

## Properties
Symmetry: Fm-3m (225)
Energy relative to the elements, uncorrected, eV per atom: -0.324
Total magnetic moment, μB/f.u.: 0.00
Total DFT energy (no corrections), eV per cell: -724.40

a b c (Å): 6.3924 6.3924 6.3924
angles (deg): 90.00 90.00 90.00
Sites, in units of the cell vectors:
Pa 0.0000 0.0000 0.0000
Pa 0.0000 0.5000 0.5000
Pa 0.5000 0.0000 0.5000
Pa 0.5000 0.5000 0.0000
Si 0.0000 0.0000 0.5000
Si 0.0000 0.5000 0.0000
Si 0.5000 0.0000 0.0000
Si 0.5000 0.5000 0.5000
Tc 0.2500 0.2500 0.2500
Tc 0.2500 0.2500 0.7500
Tc 0.2500 0.7500 0.2500
Tc 0.2500 0.7500 0.7500
Tc 0.7500 0.2500 0.2500
Tc 0.7500 0.2500 0.7500
Tc 0.7500 0.7500 0.2500
Tc 0.7500 0.7500 0.7500


Here is a PBEsol-optimized structure of Pa3Te from Alexandria via LeMat-Bulk. Energies are from meta-GGA SCAN.

## Properties
Symmetry: Pm-3m (221)
Energy relative to the elements, uncorrected, eV per atom: -0.347
Total magnetic moment, μB/f.u.: 0.00
Total DFT energy (no corrections), eV per cell: -337.64

a b c (Å): 4.5147 4.5147 4.5147
angles (deg): 90.00 90.00 90.00
Sites, in units of the cell vectors:
Pa 0.0000 0.0000 0.5000
Pa 0.0000 0.5000 0.0000
Pa 0.5000 0.0000 0.0000
Te 0.5000 0.5000 0.5000


Here is a PBEsol-optimized structure of Pb from Alexandria via LeMat-Bulk. Energies are from meta-GGA SCAN.

## Properties
Symmetry: P6_3/mmc (194)
Relative energy among the computed polymorphs, meV/atom: 16
Total magnetic moment, μB/f.u.: 0.00
ΔH_f (0 K), eV per atom: 0.016
Total DFT energy (no corrections), eV per cell: -151.53

a b c (Å): 3.4542 3.4542 5.6965
angles (deg): 90.00 90.00 120.00
Sites, in units of the cell vectors:
Pb 0.3333 0.6667 0.2500
Pb 0.6667 0.3333 0.7500


Here is a PBEsol-optimized structure of Pb from Alexandria via LeMat-Bulk. Energies are from meta-GGA SCAN.

## Properties
Symmetry: C2/m (12)
Relative energy among the computed polymorphs, meV/atom: 13
Total magnetic moment, μB/f.u.: 0.00
ΔH_f (0 K), eV per atom: 0.013
Total DFT energy (no corrections), eV per cell: -454.61

a b c (Å): 6.0830 3.4548 8.6637
angles (deg): 90.00 102.18 90.00
Sites, in units of the cell vectors:
Pb 0.0000 0.0000 0.0000
Pb 0.2216 0.0000 0.6696
Pb 0.2784 0.5000 0.3304
Pb 0.5000 0.5000 0.0000
Pb 0.7216 0.5000 0.6696
Pb 0.7784 0.0000 0.3304


Here is a PBEsol-optimized structure of Pb from Alexandria via LeMat-Bulk. Energies are from meta-GGA SCAN.

## Properties
Symmetry: I4/mmm (139)
Relative energy among the computed polymorphs, meV/atom: 0
Total magnetic moment, μB/f.u.: 0.00
ΔH_f (0 K), eV per atom: 0.000
Total DFT energy (no corrections), eV per cell: -151.56

a b c (Å): 3.5048 3.5048 4.8385
angles (deg): 90.00 90.00 90.00
Sites, in units of the cell vectors:
Pb 0.0000 0.0000 0.0000
Pb 0.5000 0.5000 0.5000


Here is a PBEsol-optimized structure of Pb from Alexandria via LeMat-Bulk. Energies are from meta-GGA SCAN.

## Properties
Symmetry: Im-3m (229)
Relative energy among the computed polymorphs, meV/atom: 40
Total magnetic moment, μB/f.u.: 0.00
ΔH_f (0 K), eV per atom: 0.040
Total DFT energy (no corrections), eV per cell: -151.48

a b c (Å): 3.8940 3.8940 3.8940
angles (deg): 90.00 90.00 90.00
Sites, in units of the cell vectors:
Pb 0.0000 0.0000 0.0000
Pb 0.5000 0.5000 0.5000